! BaCdSb (PBE, optimized geometry); values from VASP
! * distance to the lowest polymorph of the same formula: 262 meV/atom
! * formation energy from raw total energies: -133 kJ/mol of formula units
! * ρ: 5.630 g cm⁻³
! * volume: 109.6 Å³/cell
&SYSTEM
  ibrav = 0, nat = 3, ntyp = 3
/
ATOMIC_SPECIES
Sb 121.76 Sb.upf
Cd 112.41 Cd.upf
Ba 137.33 Ba.upf
CELL_PARAMETERS angstrom
-0.124 -1.704 -5.092
-0.295 -5.256 -1.066
-4.518 -2.079 -2.027
ATOMIC_POSITIONS angstrom
Sb 0.000 0.000 0.000
Cd -3.703 -6.780 -6.139
Ba -2.468 -4.520 -4.093

---

! BaCdSb2 (PBE, optimized geometry); values from VASP
! * formation energy from raw total energies: -122 kJ/mol of formula units
! * ρ: 6.196 g cm⁻³
! * volume: 132.2 Å³/cell
&SYSTEM
  ibrav = 0, nat = 4, ntyp = 3
/
ATOMIC_SPECIES
Cd 112.41 Cd.upf
Sb 121.76 Sb.upf
Ba 137.33 Ba.upf
CELL_PARAMETERS angstrom
-3.290 2.457 -0.888
-0.177 -1.635 -3.866
-4.647 -5.330 2.467
ATOMIC_POSITIONS angstrom
Cd -5.390 -3.782 -0.436
Sb -2.576 -0.555 -1.930
Sb -0.151 -0.173 0.080
Ba -2.321 -2.662 1.232

---

! BaCdSb2 (PBE, optimized geometry); values from VASP
! * formation energy from raw total energies: -95 kJ/mol of formula units
! * ρ: 6.374 g cm⁻³
! * volume: 128.5 Å³/cell
&SYSTEM
  ibrav = 0, nat = 4, ntyp = 3
/
ATOMIC_SPECIES
Sb 121.76 Sb.upf
Cd 112.41 Cd.upf
Ba 137.33 Ba.upf
CELL_PARAMETERS angstrom
5.664 0.000 0.000
2.832 4.906 0.000
2.832 1.635 4.625
ATOMIC_POSITIONS angstrom
Sb 2.832 1.635 1.156
Sb 0.000 0.000 0.000
Cd 8.497 4.906 3.469
Ba 5.664 3.270 2.312

---

! Ba2CdSb2 (PBE, optimized geometry); values from VASP
! * formation energy from raw total energies: -243 kJ/mol of formula units
! * ρ: 5.292 g cm⁻³
! * volume: 395.7 Å³/cell
&SYSTEM
  ibrav = 0, nat = 10, ntyp = 3
/
ATOMIC_SPECIES
Sb 121.76 Sb.upf
Ba 137.33 Ba.upf
Cd 112.41 Cd.upf
CELL_PARAMETERS angstrom
10.154 0.000 0.000
0.000 10.154 0.000
0.000 0.000 3.839
ATOMIC_POSITIONS angstrom
Sb 1.636 6.712 1.919
Sb 8.518 3.441 1.919
Sb 6.712 8.518 1.919
Sb 3.441 1.636 1.919
Ba 8.745 6.486 0.000
Ba 3.668 8.745 0.000
Ba 1.409 3.668 0.000
Ba 6.486 1.409 0.000
Cd 5.077 5.077 0.000
Cd 0.000 0.000 0.000

---

! BaCdSb (PBE, optimized geometry); values from VASP
! * distance to the lowest polymorph of the same formula: 0 meV/atom
! * formation energy from raw total energies: -209 kJ/mol of formula units
! * ρ: 5.603 g cm⁻³
! * volume: 220.2 Å³/cell
&SYSTEM
  ibrav = 0, nat = 6, ntyp = 3
/
ATOMIC_SPECIES
Sb 121.76 Sb.upf
Ba 137.33 Ba.upf
Cd 112.41 Cd.upf
CELL_PARAMETERS angstrom
-2.392 1.962 3.973
4.089 -4.279 4.564
5.772 2.675 -1.038
ATOMIC_POSITIONS angstrom
Sb 2.990 0.568 0.203
Sb 5.286 0.419 4.838
Ba 2.098 0.066 6.285
Ba 3.785 2.883 2.729
Cd 7.797 -0.815 3.767
Cd 4.568 -2.477 5.837

---

! BaCdSb (PBE, optimized geometry); values from VASP
! * distance to the lowest polymorph of the same formula: 490 meV/atom
! * formation energy from raw total energies: -67 kJ/mol of formula units
! * ρ: 4.956 g cm⁻³
! * volume: 124.5 Å³/cell
&SYSTEM
  ibrav = 0, nat = 3, ntyp = 3
/
ATOMIC_SPECIES
Sb 121.76 Sb.upf
Cd 112.41 Cd.upf
Ba 137.33 Ba.upf
CELL_PARAMETERS angstrom
-0.813 4.621 -3.066
0.769 -0.148 -5.549
-4.404 0.335 -3.450
ATOMIC_POSITIONS angstrom
Sb -2.224 2.404 -6.033
Cd 0.000 0.000 0.000
Ba -3.336 3.606 -9.049

---

! BaCdSb2 (PBE, optimized geometry); values from VASP
! * formation energy from raw total energies: -150 kJ/mol of formula units
! * ρ: 6.022 g cm⁻³
! * volume: 136.0 Å³/cell
&SYSTEM
  ibrav = 0, nat = 4, ntyp = 3
/
ATOMIC_SPECIES
Sb 121.76 Sb.upf
Ba 137.33 Ba.upf
Cd 112.41 Cd.upf
CELL_PARAMETERS angstrom
6.565 0.022 0.014
4.501 4.778 0.014
4.501 1.953 4.361
ATOMIC_POSITIONS angstrom
Sb 7.125 3.091 2.009
Sb 0.658 0.285 0.186
Ba 3.892 1.688 1.097
Cd 11.675 5.065 3.292

---

! BaCd3Sb (PBE, optimized geometry); values from VASP
! * distance to the lowest polymorph of the same formula: 0 meV/atom
! * formation energy from raw total energies: 28 kJ/mol of formula units
! * ρ: 5.353 g cm⁻³
! * volume: 185.0 Å³/cell
&SYSTEM
  ibrav = 0, nat = 5, ntyp = 3
/
ATOMIC_SPECIES
Ba 137.33 Ba.upf
Cd 112.41 Cd.upf
Sb 121.76 Sb.upf
CELL_PARAMETERS angstrom
-1.879 4.030 3.563
-3.683 1.787 -3.963
-3.921 -3.610 2.016
ATOMIC_POSITIONS angstrom
Ba -4.741 1.104 0.808
Cd -0.939 2.015 1.781
Cd -1.960 -1.805 1.008
Cd -1.842 0.893 -1.982
Sb 0.000 0.000 0.000

---

! Ba2Cd2Sb (PBE, optimized geometry); values from VASP
! * distance to the lowest polymorph of the same formula: 212 meV/atom
! * formation energy from raw total energies: -131 kJ/mol of formula units
! * ρ: 5.219 g cm⁻³
! * volume: 197.7 Å³/cell
&SYSTEM
  ibrav = 0, nat = 5, ntyp = 3
/
ATOMIC_SPECIES
Cd 112.41 Cd.upf
Ba 137.33 Ba.upf
Sb 121.76 Sb.upf
CELL_PARAMETERS angstrom
-1.944 -3.649 5.328
-2.795 -4.541 -4.130
1.382 -6.285 0.468
ATOMIC_POSITIONS angstrom
Cd -1.197 -4.779 0.558
Cd -2.159 -9.696 1.108
Ba -1.891 -7.460 -1.531
Ba -1.466 -7.015 3.197
Sb 0.000 0.000 0.000

---

! Ba2CdSb2 (PBE, optimized geometry); values from VASP
! * formation energy from raw total energies: -216 kJ/mol of formula units
! * ρ: 5.257 g cm⁻³
! * volume: 199.2 Å³/cell
&SYSTEM
  ibrav = 0, nat = 5, ntyp = 3
/
ATOMIC_SPECIES
Cd 112.41 Cd.upf
Sb 121.76 Sb.upf
Ba 137.33 Ba.upf
CELL_PARAMETERS angstrom
-2.702 -1.167 -3.397
1.205 -4.299 0.518
-8.171 -4.048 4.917
ATOMIC_POSITIONS angstrom
Cd 0.000 0.000 0.000
Sb -5.811 -3.974 0.040
Sb -3.857 -5.540 1.998
Ba -7.283 -6.491 2.077
Ba -2.384 -3.023 -0.039

---

! BaCd2Sb2 (PBE, optimized geometry); values from VASP
! * distance to the lowest polymorph of the same formula: 110 meV/atom
! * formation energy from raw total energies: -211 kJ/mol of formula units
! * ρ: 5.412 g cm⁻³
! * volume: 371.7 Å³/cell
&SYSTEM
  ibrav = 0, nat = 10, ntyp = 3
/
ATOMIC_SPECIES
Sb 121.76 Sb.upf
Cd 112.41 Cd.upf
Ba 137.33 Ba.upf
CELL_PARAMETERS angstrom
-2.389 -4.411 2.270
-2.637 -6.868 -4.816
6.927 -6.071 2.171
ATOMIC_POSITIONS angstrom
Sb -0.001 -8.859 -2.079
Sb 2.840 -12.985 -0.425
Sb 1.902 -8.491 1.703
Sb -0.939 -4.365 0.049
Cd 0.250 -6.880 0.025
Cd 1.651 -10.470 -0.401
Cd 0.199 -13.689 -0.936
Cd 1.702 -3.661 0.560
Ba 5.205 -7.289 0.833
Ba -3.304 -10.061 -1.209

---

! BaCd4Sb2 (PBE, optimized geometry); values from VASP
! * formation energy from raw total energies: -174 kJ/mol of formula units
! * ρ: 6.736 g cm⁻³
! * volume: 204.7 Å³/cell
&SYSTEM
  ibrav = 0, nat = 7, ntyp = 3
/
ATOMIC_SPECIES
Cd 112.41 Cd.upf
Sb 121.76 Sb.upf
Ba 137.33 Ba.upf
CELL_PARAMETERS angstrom
-3.380 0.843 3.003
-0.176 -3.688 4.157
4.818 6.337 3.866
ATOMIC_POSITIONS angstrom
Cd -0.888 2.525 5.362
Cd 2.150 0.968 5.664
Cd -0.525 -0.705 6.548
Cd 1.787 4.197 4.478
Sb 1.114 3.411 7.416
Sb 0.148 0.081 3.610
Ba 0.000 0.000 0.000

---

! BaCdSb (PBE, optimized geometry); values from VASP
! * distance to the lowest polymorph of the same formula: 102 meV/atom
! * formation energy from raw total energies: -179 kJ/mol of formula units
! * ρ: 5.304 g cm⁻³
! * volume: 232.6 Å³/cell
&SYSTEM
  ibrav = 0, nat = 6, ntyp = 3
/
ATOMIC_SPECIES
Cd 112.41 Cd.upf
Sb 121.76 Sb.upf
Ba 137.33 Ba.upf
CELL_PARAMETERS angstrom
5.569 0.000 0.000
0.000 4.804 0.000
-2.785 -2.402 8.694
ATOMIC_POSITIONS angstrom
Cd 4.148 2.402 0.000
Cd 1.421 2.402 0.000
Sb 2.785 0.000 6.165
Sb 0.000 2.402 2.529
Ba 2.785 0.000 2.712
Ba 0.000 2.402 5.982

---

! BaCdSb (PBE, optimized geometry); values from VASP
! * distance to the lowest polymorph of the same formula: 283 meV/atom
! * formation energy from raw total energies: -127 kJ/mol of formula units
! * ρ: 6.169 g cm⁻³
! * volume: 100.0 Å³/cell
&SYSTEM
  ibrav = 0, nat = 3, ntyp = 3
/
ATOMIC_SPECIES
Cd 112.41 Cd.upf
Sb 121.76 Sb.upf
Ba 137.33 Ba.upf
CELL_PARAMETERS angstrom
-0.537 -5.688 -3.449
3.834 -2.216 -4.992
-0.216 2.418 6.216
ATOMIC_POSITIONS angstrom
Cd 1.021 -2.448 -2.614
Sb 2.278 -5.461 -5.832
Ba 3.295 -7.899 -8.435

---

! BaCdSb2 (PBE, optimized geometry); values from VASP
! * formation energy from raw total energies: -157 kJ/mol of formula units
! * ρ: 6.607 g cm⁻³
! * volume: 124.0 Å³/cell
&SYSTEM
  ibrav = 0, nat = 4, ntyp = 3
/
ATOMIC_SPECIES
Sb 121.76 Sb.upf
Cd 112.41 Cd.upf
Ba 137.33 Ba.upf
CELL_PARAMETERS angstrom
-3.436 3.309 -1.654
-2.934 -1.066 3.963
2.168 3.530 2.555
ATOMIC_POSITIONS angstrom
Sb 0.000 0.000 0.000
Sb -3.185 1.121 1.154
Cd -0.383 1.232 3.259
Ba -0.634 3.419 0.450

---

! BaCdSb (PBE, optimized geometry); values from VASP
! * distance to the lowest polymorph of the same formula: 90 meV/atom
! * formation energy from raw total energies: -183 kJ/mol of formula units
! * ρ: 5.866 g cm⁻³
! * volume: 105.2 Å³/cell
&SYSTEM
  ibrav = 0, nat = 3, ntyp = 3
/
ATOMIC_SPECIES
Sb 121.76 Sb.upf
Ba 137.33 Ba.upf
Cd 112.41 Cd.upf
CELL_PARAMETERS angstrom
-2.472 -2.259 3.597
0.267 -2.048 -4.459
4.192 -2.420 1.362
ATOMIC_POSITIONS angstrom
Sb 1.645 -3.441 -1.029
Ba 0.041 -0.024 0.013
Cd 0.301 -3.262 1.516

---

! BaCd2Sb2 (PBE, optimized geometry); values from VASP
! * distance to the lowest polymorph of the same formula: 329 meV/atom
! * formation energy from raw total energies: -106 kJ/mol of formula units
! * ρ: 6.627 g cm⁻³
! * volume: 303.5 Å³/cell
&SYSTEM
  ibrav = 0, nat = 10, ntyp = 3
/
ATOMIC_SPECIES
Cd 112.41 Cd.upf
Ba 137.33 Ba.upf
Sb 121.76 Sb.upf
CELL_PARAMETERS angstrom
8.922 0.000 0.000
0.000 8.922 0.000
0.000 0.000 3.813
ATOMIC_POSITIONS angstrom
Cd 3.170 1.291 1.906
Cd 7.631 3.170 1.906
Cd 5.752 7.631 1.906
Cd 1.291 5.752 1.906
Ba 4.461 4.461 0.000
Ba 0.000 0.000 0.000
Sb 3.156 7.617 0.000
Sb 7.617 5.767 0.000
Sb 5.767 1.305 0.000
Sb 1.305 3.156 0.000

---

! Ba4Cd5Sb6 (PBE, optimized geometry); values from VASP
! * formation energy from raw total energies: -894 kJ/mol of formula units
! * ρ: 6.012 g cm⁻³
! * volume: 1017.4 Å³/cell
&SYSTEM
  ibrav = 0, nat = 30, ntyp = 3
/
ATOMIC_SPECIES
Sb 121.76 Sb.upf
Cd 112.41 Cd.upf
Ba 137.33 Ba.upf
CELL_PARAMETERS angstrom
-4.611 1.135 -1.677
2.159 -9.999 -5.143
-7.268 -8.789 14.038
ATOMIC_POSITIONS angstrom
Sb -3.643 -8.444 4.303
Sb -4.909 -3.650 3.466
Sb -0.928 -3.222 0.371
Sb -6.898 -6.347 7.110
Sb -6.350 -15.864 6.724
Sb -3.031 -11.589 0.491
Sb -8.866 -8.697 10.932
Sb -1.062 -9.177 -3.293
Sb -5.579 -10.891 7.969
Sb -9.601 -13.472 9.723
Sb -6.948 -12.201 3.285
Sb -4.266 -6.912 -0.511
Cd -4.612 -11.179 5.118
Cd -4.597 -8.320 7.010
Cd -3.633 -2.166 0.961
Cd -3.328 -7.162 -3.260
Cd -5.072 -14.260 4.296
Cd -7.237 -15.278 9.562
Cd -3.253 -4.232 -1.481
Cd -7.945 -9.110 8.120
Cd -5.849 -6.446 4.158
Cd -2.062 -8.891 -0.348
Ba -2.265 -5.846 2.272
Ba -5.652 -9.448 1.584
Ba -3.642 -4.695 6.839
Ba -6.937 -11.675 11.176
Ba -4.360 -10.589 -2.741
Ba -2.452 -8.573 -6.625
Ba -5.560 -7.306 10.345
Ba -8.253 -12.772 6.487

---

! BaCd4Sb (PBE, optimized geometry); values from VASP
! * formation energy from raw total energies: -92 kJ/mol of formula units
! * ρ: 6.921 g cm⁻³
! * volume: 170.1 Å³/cell
&SYSTEM
  ibrav = 0, nat = 6, ntyp = 3
/
ATOMIC_SPECIES
Sb 121.76 Sb.upf
Cd 112.41 Cd.upf
Ba 137.33 Ba.upf
CELL_PARAMETERS angstrom
-0.573 -6.192 0.054
0.259 -3.100 5.385
-5.134 -2.628 2.325
ATOMIC_POSITIONS angstrom
Sb -4.086 -8.940 5.822
Cd -4.594 -5.785 4.072
Cd -1.921 -6.020 5.589
Cd -2.049 -4.483 2.919
Cd -2.333 -7.552 2.946
Ba 0.000 0.000 0.000

---

! Ba2Cd3Sb4 (PBE, optimized geometry); values from VASP
! * formation energy from raw total energies: -469 kJ/mol of formula units
! * ρ: 6.598 g cm⁻³
! * volume: 553.1 Å³/cell
&SYSTEM
  ibrav = 0, nat = 18, ntyp = 3
/
ATOMIC_SPECIES
Ba 137.33 Ba.upf
Sb 121.76 Sb.upf
Cd 112.41 Cd.upf
CELL_PARAMETERS angstrom
6.428 0.000 -2.518
0.000 9.222 0.000
-0.045 0.000 9.348
ATOMIC_POSITIONS angstrom
Ba 2.432 0.708 6.209
Ba 3.951 8.514 0.622
Ba 0.737 5.319 1.881
Ba 5.646 3.903 4.950
Sb 1.979 4.072 5.052
Sb 1.190 8.683 3.037
Sb 1.240 6.917 7.897
Sb 5.143 2.306 -1.067
Sb 1.929 2.306 0.192
Sb 5.193 0.539 3.793
Sb 4.454 6.917 6.638
Sb 4.404 5.150 1.778
Cd 0.183 6.917 5.198
Cd 3.214 4.611 -1.259
Cd 0.000 0.000 0.000
Cd 2.986 2.306 2.892
Cd 6.200 2.306 1.633
Cd 3.397 6.917 3.939